# GGA+U Rb3Ca2MoO6, relaxed
# Total magnetic moment   0.0833 μB per atom
# Raw total energy   -5.67 eV/atom
data_Rb3Ca2MoO6
_chemical_formula_sum 'Rb6 Ca4 Mo2 O12'
_cell_length_a 5.9288
_cell_length_b 10.3860
_cell_length_c 6.7212
_cell_angle_alpha 90.00
_cell_angle_beta 107.02
_cell_angle_gamma 90.00
_space_group_name_H-M_alt 'C 1 2/m 1'
_space_group_IT_number 12
_space_group_name_Hall '-C 2y'
loop_
_atom_site_label
_atom_site_fract_x
_atom_site_fract_y
_atom_site_fract_z
Rb1 0.0000 0.0000 0.0000
Rb2 0.0000 0.3307 0.0000
Ca1 0.0000 0.1700 0.5000
Mo1 0.0000 0.5000 0.5000
O1 0.2068 0.3529 0.6760
O2 0.2226 0.5000 0.3289